No. 1
Entry from OQMD via LeMat-Bulk: NbSi2Ni after structural relaxation (PBE).

```
NbSi2Ni
1.0
0.000 3.041 3.041
3.041 0.000 3.041
3.041 3.041 0.000
Nb Si Ni
1 2 1
direct
0.000 0.000 0.000
0.500 0.500 0.500
0.750 0.750 0.750
0.250 0.250 0.250
```

Density, kg/m³: 6132
Calculated total energy, eV/f.u.: -26.1

***

No. 2
Entry from OQMD via LeMat-Bulk: KAcFe after structural relaxation (PBE).

```
KAcFe
1.0
0.000 3.774 3.774
3.774 0.000 3.774
3.774 3.774 0.000
K Ac Fe
1 1 1
direct
0.000 0.000 0.000
0.500 0.500 0.500
0.250 0.250 0.250
```

Density, kg/m³: 4971
Calculated total energy, eV/f.u.: -10.7
E above lowest polymorph, meV per atom: 0

***

No. 3
Entry from OQMD via LeMat-Bulk: Zr2Ta after structural relaxation (PBE).

```
Zr2Ta
1.0
0.000 3.992 3.992
3.992 0.000 3.992
3.992 3.992 0.000
Zr Ta
4 2
direct
0.000 0.000 0.000
0.000 0.000 0.500
0.000 0.500 0.000
0.500 0.000 0.000
0.375 0.375 0.375
0.625 0.625 0.625
```

Density, kg/m³: 9484
Calculated total energy, eV/f.u.: -27.4
Energy of formation from the pure elements, eV per atom: 0.529

***

No. 4
Entry from OQMD via LeMat-Bulk: HfZr2Ni4As4 after structural relaxation (PBE).

```
HfZr2Ni4As4
1.0
6.449 0.000 0.000
0.000 3.821 0.000
-0.020 0.000 7.264
Hf Zr Ni As
1 2 4 4
direct
0.000 0.000 0.000
0.457 0.500 0.513
0.949 0.500 0.375
0.116 0.000 0.634
0.333 0.500 0.132
0.627 0.000 0.247
0.860 0.500 0.754
0.241 0.500 0.818
0.247 0.000 0.312
0.703 0.500 0.057
0.739 0.000 0.588
```

Density, kg/m³: 8306
Calculated total energy, eV/f.u.: -76.5
E above lowest polymorph, meV per atom: 0

***

No. 5
Entry from OQMD via LeMat-Bulk: K3Ta3B2O12 after structural relaxation (PBE).

```
K3Ta3B2O12
1.0
8.808 0.000 0.000
-4.404 7.628 0.000
0.000 0.000 3.908
K Ta B O
3 3 2 12
direct
0.000 0.404 0.000
0.404 0.000 0.000
0.596 0.596 0.000
0.000 0.753 0.500
0.247 0.247 0.500
0.753 0.000 0.500
0.333 0.667 0.500
0.667 0.333 0.500
0.000 0.182 0.500
0.000 0.737 0.000
0.182 0.000 0.500
0.187 0.684 0.500
0.263 0.263 0.000
0.316 0.504 0.500
0.496 0.813 0.500
0.504 0.316 0.500
0.684 0.187 0.500
0.737 0.000 0.000
0.813 0.496 0.500
0.818 0.818 0.500
```

Density, kg/m³: 5525
Calculated total energy, eV/f.u.: -164.5

***

No. 6
Entry from OQMD via LeMat-Bulk: ZrBe2Os after structural relaxation (PBE).

```
ZrBe2Os
1.0
0.000 3.042 3.042
3.042 0.000 3.042
3.042 3.042 0.000
Zr Be Os
1 2 1
direct
0.000 0.000 0.000
0.250 0.250 0.250
0.500 0.500 0.500
0.750 0.750 0.750
```

Density, kg/m³: 8836
Calculated total energy, eV/f.u.: -27.0

***

No. 7
Entry from OQMD via LeMat-Bulk: GdErIn2 after structural relaxation (PBE).

```
GdErIn2
1.0
4.307 0.000 0.000
0.000 2.278 5.731
0.000 -2.278 5.731
Gd Er In
1 1 2
direct
0.000 0.000 0.000
0.500 0.723 0.723
0.000 0.275 0.275
0.500 0.447 0.447
```

Density, kg/m³: 8183
Calculated total energy, eV/f.u.: -16.4

***

No. 8
Entry from OQMD via LeMat-Bulk: RbSrCd after structural relaxation (PBE).

```
RbSrCd
1.0
0.000 4.244 4.244
4.244 0.000 4.244
4.244 4.244 0.000
Rb Sr Cd
1 1 1
direct
0.000 0.000 0.000
0.500 0.500 0.500
0.250 0.250 0.250
```

Density, kg/m³: 3100
Calculated total energy, eV/f.u.: -3.4
E above lowest polymorph, meV per atom: 0

***

No. 9
Entry from OQMD via LeMat-Bulk: PrGd2GaCl3 after structural relaxation (PBE).

```
PrGd2GaCl3
1.0
5.732 0.000 0.000
0.000 5.732 0.000
0.000 0.000 5.761
Pr Gd Ga Cl
1 2 1 3
direct
0.000 0.000 0.000
0.000 0.500 0.500
0.500 0.000 0.500
0.000 0.000 0.500
0.000 0.500 0.000
0.500 0.000 0.000
0.500 0.500 0.500
```

Density, kg/m³: 5540
Calculated total energy, eV/f.u.: -33.2

***

No. 10
Entry from OQMD via LeMat-Bulk: Hf31SiO64 after structural relaxation (PBE).

```
Hf31SiO64
1.0
10.162 0.000 0.000
-0.067 10.272 0.000
-1.716 -0.047 10.427
Hf Si O
31 1 64
direct
0.000 0.000 0.000
0.000 0.004 0.498
0.000 0.502 0.998
0.001 0.792 0.250
0.221 0.255 0.541
0.222 0.252 0.039
0.223 0.045 0.290
0.223 0.047 0.790
0.223 0.544 0.291
0.223 0.752 0.040
0.225 0.545 0.789
0.227 0.755 0.543
0.499 0.295 0.245
0.499 0.502 0.996
0.499 0.505 0.499
0.499 0.796 0.251
0.500 0.011 0.500
0.501 0.000 0.995
0.502 0.292 0.743
0.507 0.803 0.751
0.719 0.250 0.536
0.721 0.543 0.289
0.722 0.547 0.790
0.723 0.751 0.042
0.724 0.249 0.031
0.725 0.044 0.287
0.726 0.753 0.539
0.992 0.290 0.750
0.998 0.294 0.248
0.998 0.501 0.501
0.998 0.797 0.749
0.744 0.042 0.804
0.082 0.146 0.634
0.082 0.153 0.382
0.083 0.143 0.132
0.083 0.150 0.883
0.084 0.644 0.134
0.084 0.652 0.883
0.085 0.647 0.634
0.085 0.651 0.386
0.132 0.401 0.657
0.132 0.895 0.904
0.134 0.393 0.903
0.136 0.396 0.406
0.137 0.401 0.155
0.139 0.895 0.406
0.139 0.901 0.156
0.139 0.904 0.656
0.323 0.110 0.469
0.326 0.608 0.971
0.327 0.187 0.218
0.327 0.188 0.719
0.327 0.688 0.220
0.329 0.614 0.469
0.331 0.113 0.967
0.331 0.690 0.722
0.387 0.370 0.570
0.392 0.936 0.820
0.393 0.361 0.068
0.394 0.437 0.817
0.395 0.438 0.319
0.395 0.860 0.068
0.395 0.939 0.319
0.403 0.862 0.571
0.561 0.172 0.605
0.583 0.644 0.134
0.584 0.147 0.121
0.584 0.651 0.883
0.586 0.652 0.383
0.586 0.656 0.633
0.587 0.150 0.372
0.603 0.136 0.859
0.634 0.389 0.902
0.635 0.394 0.403
0.636 0.410 0.653
0.637 0.901 0.157
0.638 0.896 0.411
0.639 0.401 0.152
0.642 0.892 0.909
0.645 0.942 0.678
0.810 0.170 0.722
0.824 0.101 0.959
0.826 0.609 0.472
0.827 0.606 0.972
0.827 0.689 0.721
0.828 0.111 0.466
0.828 0.686 0.222
0.829 0.182 0.211
0.885 0.941 0.817
0.890 0.434 0.819
0.891 0.357 0.573
0.892 0.434 0.320
0.895 0.935 0.320
0.896 0.355 0.065
0.896 0.857 0.070
0.896 0.860 0.570
```

Density, kg/m³: 10047
Calculated total energy, eV/f.u.: -967.6
E above lowest polymorph, meV per atom: 0

***

No. 11
Entry from OQMD via LeMat-Bulk: LaTlHgS3 after structural relaxation (PBE).

```
LaTlHgS3
1.0
11.712 0.000 0.000
0.000 4.416 0.000
0.000 0.000 12.354
La Tl Hg S
4 4 4 12
direct
0.020 0.250 0.177
0.480 0.750 0.677
0.520 0.250 0.323
0.980 0.750 0.823
0.163 0.250 0.513
0.337 0.750 0.013
0.663 0.250 0.987
0.837 0.750 0.487
0.249 0.750 0.306
0.251 0.250 0.806
0.749 0.750 0.194
0.751 0.250 0.694
0.036 0.750 0.334
0.088 0.250 0.939
0.224 0.750 0.689
0.276 0.250 0.189
0.412 0.750 0.439
0.464 0.250 0.834
0.536 0.750 0.166
0.588 0.250 0.561
0.724 0.750 0.811
0.776 0.250 0.311
0.912 0.750 0.061
0.964 0.250 0.666
```

Density, kg/m³: 6653
Calculated total energy, eV/f.u.: -26.1
E above lowest polymorph, meV per atom: 3

***

No. 12
Entry from OQMD via LeMat-Bulk: Nb4ZnAsN2 after structural relaxation (PBE).

```
Nb4ZnAsN2
1.0
3.236 0.000 0.000
-1.618 2.802 0.000
0.000 0.000 12.717
Nb Zn As N
4 1 1 2
direct
0.000 0.000 0.151
0.000 0.000 0.849
0.667 0.333 0.331
0.667 0.333 0.669
0.000 0.000 0.500
0.667 0.333 0.000
0.333 0.667 0.245
0.333 0.667 0.755
```

Density, kg/m³: 7777
Calculated total energy, eV/f.u.: -67.8

***

No. 13
Entry from OQMD via LeMat-Bulk: PrTlB4 after structural relaxation (PBE).

```
PrTlB4
1.0
3.232 0.000 0.000
-1.616 2.799 0.000
0.000 0.000 9.276
Pr Tl B
1 1 4
direct
0.000 0.000 0.000
0.000 0.000 0.500
0.333 0.667 0.226
0.333 0.667 0.774
0.667 0.333 0.226
0.667 0.333 0.774
```

Density, kg/m³: 7688
Calculated total energy, eV/f.u.: -31.9
E above lowest polymorph, meV per atom: 180

***

No. 14
Entry from OQMD via LeMat-Bulk: ZnSe after structural relaxation (PBE).

```
ZnSe
1.0
3.706 0.000 0.000
0.000 4.068 0.000
0.000 0.000 6.048
Zn Se
2 2
direct
0.250 0.250 0.015
0.750 0.750 0.985
0.250 0.750 0.261
0.750 0.250 0.739
```

Density, kg/m³: 5259
Calculated total energy, eV/f.u.: -5.7

***

No. 15
Entry from OQMD via LeMat-Bulk: Zr2SiAg2GeAs2 after structural relaxation (PBE).

```
Zr2SiAg2GeAs2
1.0
3.808 0.000 0.000
0.000 3.808 0.000
0.000 0.000 10.183
Zr Si Ag Ge As
2 1 2 1 2
direct
0.000 0.500 0.212
0.500 0.000 0.788
0.500 0.500 0.000
0.000 0.000 0.500
0.500 0.500 0.500
0.000 0.000 0.000
0.000 0.500 0.707
0.500 0.000 0.293
```

Density, kg/m³: 7295
Calculated total energy, eV/f.u.: -46.1

***

No. 16
Entry from OQMD via LeMat-Bulk: Nb2CdBi after structural relaxation (PBE).

```
Nb2CdBi
1.0
0.000 3.486 3.486
3.486 0.000 3.486
3.486 3.486 0.000
Nb Cd Bi
2 1 1
direct
0.000 0.000 0.000
0.250 0.250 0.250
0.750 0.750 0.750
0.500 0.500 0.500
```

Density, kg/m³: 9940
Calculated total energy, eV/f.u.: -22.8

***

No. 17
Entry from OQMD via LeMat-Bulk: TlTcO4 after structural relaxation (PBE).

```
TlTcO4
1.0
-2.804 2.804 6.751
2.804 -2.804 6.751
2.804 2.804 -6.751
Tl Tc O
2 2 8
direct
0.375 0.625 0.750
0.625 0.375 0.250
0.125 0.875 0.250
0.875 0.125 0.750
0.199 0.203 0.505
0.199 0.694 0.995
0.203 0.199 0.005
0.306 0.801 0.505
0.694 0.199 0.495
0.797 0.801 0.995
0.801 0.306 0.005
0.801 0.797 0.495
```

Density, kg/m³: 5732
Calculated total energy, eV/f.u.: -40.4
E above lowest polymorph, meV per atom: 8

***

No. 18
Entry from OQMD via LeMat-Bulk: Ba2Ni after structural relaxation (PBE).

```
Ba2Ni
1.0
0.000 4.835 4.835
4.835 0.000 4.835
4.835 4.835 0.000
Ba Ni
4 2
direct
0.000 0.000 0.000
0.000 0.000 0.500
0.000 0.500 0.000
0.500 0.000 0.000
0.375 0.375 0.375
0.625 0.625 0.625
```

Density, kg/m³: 4896
Calculated total energy, eV/f.u.: -6.1

***

No. 19
Entry from OQMD via LeMat-Bulk: AcNiBi after structural relaxation (PBE).

```
AcNiBi
1.0
0.000 3.733 3.733
3.733 0.000 3.733
3.733 3.733 0.000
Ac Ni Bi
1 1 1
direct
0.000 0.000 0.000
0.250 0.250 0.250
0.750 0.750 0.750
```

Density, kg/m³: 7893
Calculated total energy, eV/f.u.: -12.9
E above lowest polymorph, meV per atom: 860

***

No. 20
Entry from OQMD via LeMat-Bulk: GdIn3S6 after structural relaxation (PBE).

```
GdIn3S6
1.0
10.909 0.000 0.000
0.000 3.890 0.000
-4.156 0.000 10.456
Gd In S
2 6 12
direct
0.202 0.250 0.051
0.798 0.750 0.949
0.017 0.750 0.297
0.334 0.250 0.439
0.404 0.750 0.831
0.596 0.250 0.169
0.666 0.750 0.561
0.983 0.250 0.703
0.037 0.750 0.899
0.105 0.250 0.454
0.238 0.750 0.255
0.240 0.250 0.800
0.410 0.750 0.072
0.438 0.750 0.603
0.562 0.250 0.397
0.590 0.250 0.928
0.760 0.750 0.200
0.762 0.250 0.745
0.895 0.750 0.546
0.963 0.250 0.101
```

Density, kg/m³: 5196
Calculated total energy, eV/f.u.: -46.6